! NbSnAs2 | the Alexandria database | meta-GGA SCAN | PBEsol geometry; values from VASP
&SYSTEM
  ibrav = 0, nat = 8, ntyp = 3
/
ATOMIC_SPECIES
As 74.92 As.upf
Nb 92.91 Nb.upf
Sn 118.71 Sn.upf
CELL_PARAMETERS angstrom
-1.304 5.789 1.023
-2.221 -1.456 5.405
7.295 -1.361 -0.723
ATOMIC_POSITIONS crystal
As 0.836 0.375 0.250
As 0.125 0.164 0.750
As 0.625 0.586 0.750
As 0.414 0.875 0.250
Nb 0.500 0.500 0.000
Nb 0.750 0.250 0.500
Sn 0.250 0.750 0.500
Sn 0.000 0.000 0.000
! Magnetization   2.3 μB per cell
! Symmetry   I-42d, No. 122
! Formation enthalpy at 0 K   0.12 eV/atom
! V   27.74 Å³/atom

! LiLaGeSe2 | the Alexandria database | meta-GGA SCAN | PBEsol geometry; values from VASP
&SYSTEM
  ibrav = 0, nat = 5, ntyp = 4
/
ATOMIC_SPECIES
Li 6.94 Li.upf
Se 78.96 Se.upf
La 138.91 La.upf
Ge 72.64 Ge.upf
CELL_PARAMETERS angstrom
5.550 0.000 0.000
0.000 5.550 0.000
0.000 0.000 5.571
ATOMIC_POSITIONS crystal
Li 0.000 0.000 0.500
Se 0.000 0.500 0.000
Se 0.500 0.000 0.000
La 0.000 0.000 0.000
Ge 0.500 0.500 0.500
! Magnetization   0.2 μB per cell
! Symmetry   P4/mmm, No. 123
! V   34.32 Å³/atom
! ΔE_f (raw)   0.11 eV per atom

! Ba2BeGe | the Alexandria database | meta-GGA SCAN | PBEsol geometry; values from VASP
&SYSTEM
  ibrav = 0, nat = 4, ntyp = 3
/
ATOMIC_SPECIES
Ge 72.64 Ge.upf
Ba 137.33 Ba.upf
Be 9.01 Be.upf
CELL_PARAMETERS angstrom
5.577 0.000 0.000
2.789 4.830 0.000
2.789 1.610 4.554
ATOMIC_POSITIONS crystal
Ge 0.500 0.500 0.500
Ba 0.250 0.250 0.250
Ba 0.750 0.750 0.750
Be 0.000 0.000 0.000
! Magnetization   0.0 μB per cell
! Symmetry   Fm-3m, No. 225
! Formation enthalpy at 0 K   0.04 eV/atom
! V   30.67 Å³/atom

! Ac3Sn | the Alexandria database | meta-GGA SCAN | PBEsol geometry; values from VASP
&SYSTEM
  ibrav = 0, nat = 4, ntyp = 2
/
ATOMIC_SPECIES
Ac 227.00 Ac.upf
Sn 118.71 Sn.upf
CELL_PARAMETERS angstrom
-4.891 1.812 0.015
-1.686 -4.533 -1.953
-0.666 -1.836 4.836
ATOMIC_POSITIONS crystal
Ac 0.500 0.500 0.000
Ac 0.500 0.000 0.500
Ac 0.000 0.500 0.500
Sn 0.000 0.000 0.000
! Magnetization   0.1 μB per cell
! Symmetry   Pm-3m, No. 221
! Formation enthalpy at 0 K   -0.40 eV/atom
! V   35.47 Å³/atom

! TaMoOs2 | the Alexandria database | meta-GGA SCAN | PBEsol geometry; values from VASP
&SYSTEM
  ibrav = 0, nat = 4, ntyp = 3
/
ATOMIC_SPECIES
Os 190.23 Os.upf
Mo 95.94 Mo.upf
Ta 180.95 Ta.upf
CELL_PARAMETERS angstrom
2.820 0.000 0.000
0.000 2.820 0.000
0.000 0.000 7.641
ATOMIC_POSITIONS crystal
Os 0.000 0.000 0.741
Os 0.000 0.000 0.259
Mo 0.500 0.500 0.500
Ta 0.500 0.500 0.000
! Magnetization   0.0 μB per cell
! Symmetry   P4/mmm, No. 123
! Polymorph energy (0 for the lowest one)   0 meV/atom
! Formation enthalpy at 0 K   -0.07 eV/atom
! V   15.19 Å³/atom

! BeTc2Ru | the Alexandria database | meta-GGA SCAN | PBEsol geometry; values from VASP
&SYSTEM
  ibrav = 0, nat = 4, ntyp = 3
/
ATOMIC_SPECIES
Ru 101.07 Ru.upf
Tc 98.00 Tc.upf
Be 9.01 Be.upf
CELL_PARAMETERS angstrom
-1.440 -1.110 2.336
1.893 -3.532 -0.513
2.836 3.600 1.584
ATOMIC_POSITIONS crystal
Ru 0.500 0.000 0.000
Tc 0.261 0.261 0.523
Tc 0.739 0.739 0.477
Be 0.000 0.500 0.000
! Magnetization   0.0 μB per cell
! Symmetry   Immm, No. 71
! Formation enthalpy at 0 K   -0.15 eV/atom
! V   12.41 Å³/atom

Question: What is the formula in the first record?
Answer: NbSnAs2